LiCe2Pr3Te6: optimized geometry, PBE.

## Properties
- M_tot: 2.3 μB per formula unit
- V: 31.9 A^3/atom
- Uncorrected formation energy: -1.3803 eV per atom

Cell: 10.0353 10.0353 9.0083 Å, 103.20 103.20 25.76°
Last column: nearest neighbours and their distance in Å.
Fractional coordinates of all 12 atoms:
Li1 0.0000 0.0000 0.0000  6 Te 3.04-3.10
Ce1 0.3340 0.3340 0.6672  6 Te 3.16-3.18
Ce2 0.6660 0.6660 0.3328  6 Te 3.16-3.18
Pr1 0.0000 0.0000 0.5000  6 Te 3.18-3.25
Pr2 0.3312 0.3312 0.1693  6 Te 3.17-3.26
Pr3 0.6688 0.6688 0.8307  6 Te 3.17-3.26
Te1 0.1598 0.1598 0.0798  1 Li 3.04, 2 Ce 3.18, 3 Pr 3.20-3.26
Te2 0.1670 0.1670 0.5805  3 Ce 3.16-3.18, 3 Pr 3.17-3.18
Te3 0.4997 0.4997 0.2377  2 Li 3.10, 1 Ce 3.16, 3 Pr 3.21-3.25
Te4 0.5003 0.5003 0.7623  2 Li 3.10, 1 Ce 3.16, 3 Pr 3.21-3.25
Te5 0.8330 0.8330 0.4195  3 Ce 3.16-3.18, 3 Pr 3.17-3.18
Te6 0.8402 0.8402 0.9202  1 Li 3.04, 2 Ce 3.18, 3 Pr 3.20-3.26